# Na2MnO2

A geometry-optimized Na2MnO2 structure (PBE+U, Alexandria via LeMat-Bulk).

Properties
- Final energy: -51.1 eV/cell
- V: 125.2 Å³/cell
- Symmetry: P4/mbm, No. 127

Cell lengths 6.001, 6.001, 3.476 Å; angles 90.00, 90.00, 90.00 degrees
Last column: magnetic moment on the atom in μB.
Positions (direct):
Mn 0.000 0.000 0.000  4.43
O 0.308 0.808 0.000  0.01
O 0.192 0.308 0.000  0.01
Na 0.868 0.368 0.500  0.00
Na 0.368 0.132 0.500  0.00
Na 0.632 0.868 0.500  0.00
Na 0.132 0.632 0.500  0.00
O 0.808 0.692 0.000  0.01
O 0.692 0.192 0.000  0.01
Mn 0.500 0.500 0.000  4.43